[1]
GaPPd2 | PBE | relaxed

Unit cell a=4.059 b=4.059 c=16.125 alpha=90.00 beta=90.00 gamma=90.00
Space group I-42d (No. 122)
Inequivalent atoms, fractional coordinates:
Ga 0.000 0.000 0.000 [4 per cell]
P 0.000 0.000 0.500 [4 per cell]
Pd 0.227 0.250 0.625 [8 per cell]

Computed properties:
Density   7.84 g cm⁻³
Distance to the lowest polymorph of the same formula   0 meV/atom

[2]
GaP2Pd8 | PBE | relaxed

Unit cell a=7.309 b=10.705 c=4.407 alpha=90.00 beta=105.08 gamma=90.00
Space group C2/m (No. 12)
Inequivalent atoms, fractional coordinates:
Ga 0.000 0.000 0.000 [2 per cell]
P 0.000 0.321 0.500 [4 per cell]
Pd 0.000 0.241 0.000 [4 per cell]
Pd 0.125 0.500 0.815 [4 per cell]
Pd 0.196 0.129 0.593 [8 per cell]

Computed properties:
Density   9.80 g cm⁻³
Distance to the lowest polymorph of the same formula   0 meV/atom

Volume (A^3/atom)
16.6; 15.1